Entry 1:
The following is a DFT calculation (PBE) of a relaxed structure of Sm8Ge3PtI4.

Unit cell a=9.052 b=9.052 c=9.052 alpha=57.14 beta=57.14 gamma=57.14
Positions (direct):
Sm  0.233  0.233  0.233
Sm  0.240  0.728  0.728
Sm  0.272  0.272  0.760
Sm  0.272  0.760  0.272
Sm  0.728  0.240  0.728
Sm  0.728  0.728  0.240
Sm  0.760  0.272  0.272
Sm  0.767  0.767  0.767
Ge  0.000  0.000  0.500
Ge  0.000  0.500  0.000
Ge  0.500  0.000  0.000
Pt  0.500  0.500  0.500
I  0.000  0.000  0.000
I  0.000  0.500  0.500
I  0.500  0.000  0.500
I  0.500  0.500  0.000

Properties
For the formation energy without anion corrections, the calculation gives -1003 meV/atom. As for the space group: R-3m (166). The density of states at the Fermi level is 10.9 states/eV per cell.

---

Entry 2:
The following is a DFT calculation (PBE) of a relaxed structure of Sm6GePt2I3.

Unit cell a=7.428 b=7.428 c=8.201 alpha=98.69 beta=98.69 gamma=120.11
Positions (direct):
Sm  0.093  0.435  0.810
Sm  0.221  0.221  0.190
Sm  0.435  0.093  0.810
Sm  0.565  0.907  0.190
Sm  0.779  0.779  0.810
Sm  0.907  0.565  0.190
Ge  0.500  0.500  0.000
Pt  0.167  0.833  0.000
Pt  0.833  0.167  0.000
I  0.000  0.000  0.500
I  0.338  0.662  0.500
I  0.662  0.338  0.500

Properties
For the formation energy without anion corrections, the calculation gives -1035 meV/atom. As for the space group: C2/m (12). The density of states at the Fermi level is 9.5 states/eV per cell.

---

Entry 3:
The following is a DFT calculation (PBE) of a relaxed structure of GeTePtI2.

Unit cell a=5.521 b=5.521 c=5.522 alpha=90.00 beta=90.00 gamma=90.00
Positions (direct):
Ge  0.000  0.000  0.000
Te  0.000  0.000  0.500
Pt  0.500  0.500  0.500
I  0.000  0.500  0.000
I  0.500  0.000  0.000

Properties
For the formation energy without anion corrections, the calculation gives 927 meV/atom. As for the space group: P4/mmm (123). For the energy above the most stable polymorph in this dataset, the calculation gives 546 meV/atom. The density of states at the Fermi level is 6.7 states/eV per cell.

---

Computed M_tot (μB/f.u.) in order:
0.000 0.000 1.293